No. 1
Computed, not measured: an optimized crystal structure of MgSc3Ta at the PBE level of DFT.

Summary:
**DOS at the Fermi energy**: 1.784 states/eV/atom
**Energy relative to the lowest polymorph listed for this composition**: 0.606 eV per atom
**Total energy**: -5.22 eV per atom
**Energy of formation**: 1.2636 eV/atom

a b c (Å): 5.0144 5.0144 5.0144
angles (deg): 90.00 90.00 90.00
With the nearest neighbours (Å) after each atom.
Space group Pm-3m (No. 221)
Inequivalent atoms, fractional coordinates:
Mg  0.0000  0.0000  0.0000 [1 per cell]  6 Sc 2.51
Sc  0.0000  0.0000  0.5000 [3 per cell]  2 Mg 2.51
Ta  0.5000  0.5000  0.5000 [1 per cell]  12 Sc 3.55

No. 2
Computed, not measured: an optimized crystal structure of Li2GaCu3 at the PBE level of DFT.

Summary:
**DOS at the Fermi energy**: 0.319 states/eV/atom
**Energy relative to the lowest polymorph listed for this composition**: 0.049 eV per atom
**Total energy**: -3.31 eV per atom
**Energy of formation**: -0.1213 eV/atom

a b c (Å): 3.8875 11.0180 3.5966
angles (deg): 90.00 90.00 90.00
With the nearest neighbours (Å) after each atom.
Space group Cmmm (No. 65)
Inequivalent atoms, fractional coordinates:
Li  0.0000  0.1682  0.0000 [4 per cell]  8 Cu 2.56-2.65, 2 Li 2.65, 2 Ga 2.69
Ga  0.0000  0.5000  0.0000 [2 per cell]  8 Cu 2.57-2.65, 4 Li 2.69
Cu  0.0000  0.0000  0.5000 [2 per cell]  4 Li 2.58, 4 Ga 2.65, 4 Cu 2.67
Cu  0.0000  0.3335  0.5000 [4 per cell]  6 Li 2.56-2.65, 2 Ga 2.57, 4 Cu 2.67-2.68

No. 3
Computed, not measured: an optimized crystal structure of Ni5H5S at the PBE level of DFT.

Summary:
**DOS at the Fermi energy**: 0.350 states/eV/atom
**Total energy**: -4.53 eV per atom

a b c (Å): 4.3748 4.3971 5.6944
angles (deg): 83.63 74.26 61.00
With the nearest neighbours (Å) after each atom.
Space group P-1 (No. 2)
Inequivalent atoms, fractional coordinates:
Ni  0.0000  0.0000  0.0000 [1 per cell]  2 H 1.84
Ni  0.2098  0.4527  0.7654 [2 per cell]  3 H 1.63-1.76
Ni  0.4000  0.2303  0.3385 [2 per cell]  4 H 1.69-1.85
H  0.1134  0.1510  0.2369 [2 per cell]  2 Ni 1.63-1.70
H  0.2253  0.1348  0.6213 [2 per cell]  3 Ni 1.66-1.70
H  0.5000  0.5000  0.5000 [1 per cell]  4 Ni 1.76-1.85
S  0.5000  0.5000  0.0000 [1 per cell]  6 Ni 2.16-2.23

No. 4
Computed, not measured: an optimized crystal structure of Nb3Al2C at the PBE level of DFT.

Summary:
**DOS at the Fermi energy**: 0.436 states/eV/atom
**Energy relative to the lowest polymorph listed for this composition**: 0.386 eV per atom
**Total energy**: -7.91 eV per atom
**Energy of formation**: -0.0882 eV/atom

a b c (Å): 5.6953 10.0392 7.1129
angles (deg): 90.00 106.07 90.00
With the nearest neighbours (Å) after each atom.
Space group C2/m (No. 12)
Inequivalent atoms, fractional coordinates:
Nb  0.1870  0.0000  0.1816 [4 per cell]  2 C 2.23, 1 Al 2.47
Nb  0.2470  0.1873  0.8103 [8 per cell]  2 C 2.21
Al  0.0000  0.0000  0.5000 [2 per cell]  6 Nb 2.76-2.94
Al  0.0000  0.3631  0.5000 [4 per cell]  1 Al 2.75, 6 Nb 2.82-2.99
Al  0.0000  0.5000  0.0000 [2 per cell]  6 Nb 2.47-2.52
C  0.0000  0.1701  0.0000 [4 per cell]  6 Nb 2.21-2.23

No. 5
Computed, not measured: an optimized crystal structure of SrP2IrS at the PBE level of DFT.

Summary:
**DOS at the Fermi energy**: 1.784 states/eV/atom
**Energy relative to the lowest polymorph listed for this composition**: 2.333 eV per atom
**Total energy**: -3.08 eV per atom

a b c (Å): 5.2970 5.2970 5.2148
angles (deg): 90.00 90.00 90.00
With the nearest neighbours (Å) after each atom.
Space group P4/mmm (No. 123)
Inequivalent atoms, fractional coordinates:
Sr  0.0000  0.0000  0.0000 [1 per cell]  2 S 2.61, 4 P 2.65
P  0.0000  0.5000  0.0000 [2 per cell]  2 Sr 2.65
Ir  0.5000  0.5000  0.5000 [1 per cell]  8 P 3.72, 4 S 3.75
S  0.0000  0.0000  0.5000 [1 per cell]  2 Sr 2.61

No. 6
Computed, not measured: an optimized crystal structure of Ti2CoH4 at the PBE level of DFT.

Summary:
**DOS at the Fermi energy**: 0.326 states/eV/atom
**Total energy**: -5.46 eV per atom

a b c (Å): 4.9916 3.9874 6.0341
angles (deg): 90.00 113.53 90.00
With the nearest neighbours (Å) after each atom.
Space group P2_1/m (No. 11)
Inequivalent atoms, fractional coordinates:
Ti  0.2004  0.2500  0.4257 [2 per cell]  6 H 1.89-2.08
Ti  0.2197  0.2500  0.9416 [2 per cell]  6 H 1.97-2.12
Co  0.3345  0.7500  0.7051 [2 per cell]  3 H 1.59-1.68
H  0.0607  0.7500  0.9032 [2 per cell]  2 Ti 1.89-1.97
H  0.0996  0.7500  0.4137 [2 per cell]  1 Co 1.68
H  0.4146  0.5180  0.2539 [4 per cell]  1 Co 1.59

No. 7
Computed, not measured: an optimized crystal structure of Hf2TiIrPt at the PBE level of DFT.

Summary:
**DOS at the Fermi energy**: 1.565 states/eV/atom
**Total energy**: -8.06 eV per atom
**Energy of formation**: 0.4840 eV/atom

a b c (Å): 4.9839 4.9839 4.6084
angles (deg): 90.00 90.00 90.00
With the nearest neighbours (Å) after each atom.
Space group P4/mmm (No. 123)
Inequivalent atoms, fractional coordinates:
Hf  0.0000  0.5000  0.0000 [2 per cell]  2 Pt 2.49
Ti  0.0000  0.0000  0.5000 [1 per cell]  2 Pt 2.30
Ir  0.5000  0.5000  0.5000 [1 per cell]  8 Hf 3.39, 4 Ti 3.52
Pt  0.0000  0.0000  0.0000 [1 per cell]  2 Ti 2.30, 4 Hf 2.49

No. 8
Computed, not measured: an optimized crystal structure of Na4Ce3NiSe8 at the PBE level of DFT.

Summary:
**DOS at the Fermi energy**: 0.979 states/eV/atom
**Total energy**: -4.86 eV per atom

a b c (Å): 14.4918 8.2657 8.4682
angles (deg): 90.00 124.66 90.00
With the nearest neighbours (Å) after each atom.
Space group C2/m (No. 12)
Inequivalent atoms, fractional coordinates:
Na  0.0000  0.0000  0.0000 [2 per cell]  6 Se 3.03-3.25
Na  0.0000  0.5000  0.0000 [2 per cell]  6 Se 3.03-3.04
Na  0.2500  0.2500  0.0000 [4 per cell]  6 Se 3.00-3.07
Ce  0.0000  0.0000  0.5000 [2 per cell]  6 Se 2.91-2.93
Ce  0.2500  0.2500  0.5000 [4 per cell]  6 Se 2.89-2.92
Ni  0.0000  0.5000  0.5000 [2 per cell]  6 Se 2.67-2.93
Se  0.0056  0.2698  0.2840 [8 per cell]  1 Ni 2.67, 2 Ce 2.91-2.92
Se  0.2455  0.0000  0.7389 [4 per cell]  3 Ce 2.92-2.93, 3 Na 3.00-3.04
Se  0.2459  0.5000  0.7350 [4 per cell]  2 Ce 2.89, 1 Ni 2.93, 3 Na 3.03

No. 9
Computed, not measured: an optimized crystal structure of CaMgHg4 at the PBE level of DFT.

Summary:
**DOS at the Fermi energy**: 0.812 states/eV/atom
**Energy relative to the lowest polymorph listed for this composition**: 0.170 eV per atom
**Total energy**: -0.92 eV per atom
**Energy of formation**: -0.1244 eV/atom

a b c (Å): 8.5132 8.5132 8.5132
angles (deg): 90.00 90.00 90.00
With the nearest neighbours (Å) after each atom.
Space group F-43m (No. 216)
Inequivalent atoms, fractional coordinates:
Ca  0.0000  0.0000  0.0000 [4 per cell]  12 Hg 3.53, 4 Mg 3.69
Mg  0.2500  0.2500  0.2500 [4 per cell]  12 Hg 3.53, 4 Ca 3.69
Hg  0.1250  0.1250  0.6250 [16 per cell]  6 Hg 3.01

No. 10
Computed, not measured: an optimized crystal structure of K2NiRh at the PBE level of DFT.

Summary:
**DOS at the Fermi energy**: 1.229 states/eV/atom
**Energy relative to the lowest polymorph listed for this composition**: 0.761 eV per atom
**Total energy**: -2.69 eV per atom
**Energy of formation**: 1.1465 eV/atom

a b c (Å): 7.4380 7.4380 7.4380
angles (deg): 90.00 90.00 90.00
With the nearest neighbours (Å) after each atom.
Space group Fm-3m (No. 225)
Inequivalent atoms, fractional coordinates:
K  0.2500  0.2500  0.2500 [8 per cell]  4 Ni 3.22, 4 Rh 3.22
Ni  0.0000  0.0000  0.0000 [4 per cell]  8 K 3.22
Rh  0.0000  0.0000  0.5000 [4 per cell]  8 K 3.22

No. 11
Computed, not measured: an optimized crystal structure of NaTl2Cl4 at the PBE level of DFT.

Summary:
**DOS at the Fermi energy**: 0.168 states/eV/atom
**Total energy**: -2.95 eV per atom

a b c (Å): 7.4371 7.4371 4.4907
angles (deg): 90.00 90.00 90.00
With the nearest neighbours (Å) after each atom.
Space group P-42m (No. 111)
Inequivalent atoms, fractional coordinates:
Na  0.0000  0.0000  0.0000 [1 per cell]  4 Cl 2.71
Tl  0.0000  0.5000  0.5000 [2 per cell]  4 Cl 2.87
Cl  0.2354  0.2354  0.2449 [4 per cell]  1 Na 2.71, 2 Tl 2.87

No. 12
Computed, not measured: an optimized crystal structure of BaSi4O8 at the PBE level of DFT.

Summary:
**DOS at the Fermi energy**: 0.236 states/eV/atom
**Total energy**: -7.15 eV per atom

a b c (Å): 5.3486 5.3486 7.9828
angles (deg): 90.00 90.00 120.00
With the nearest neighbours (Å) after each atom.
Space group P-31m (No. 162)
Inequivalent atoms, fractional coordinates:
Ba  0.0000  0.0000  0.0000 [1 per cell]  12 O 3.09-3.13
Si  0.3333  0.6667  0.2110 [4 per cell]  4 O 1.67-1.68
O  0.0000  0.4225  0.7279 [6 per cell]  2 Si 1.67
O  0.3333  0.6667  0.0000 [2 per cell]  2 Si 1.68